This record from Alexandria describes crystalline CoIrAu2 at its relaxed geometry. The functional is GGA-PBEsol.

a = 4.735 Å, b = 2.772 Å, c = 4.741 Å
α = 90.00°, β = 108.56°, γ = 90.00°
Sites, in units of the cell vectors:
Co 0.000 0.000 0.000
Ir 0.500 0.500 0.000
Au 0.000 0.500 0.500
Au 0.500 0.000 0.500

Output
energy relative to the elements = 0.354 eV per atom



This record from Alexandria describes crystalline Co2IrAu at its relaxed geometry. The functional is GGA-PBEsol.

a = 2.675 Å, b = 3.597 Å, c = 5.442 Å
α = 90.00°, β = 90.00°, γ = 90.00°
Sites, in units of the cell vectors:
Co 0.000 0.000 0.224
Co 0.000 0.000 0.776
Ir 0.500 0.500 0.000
Au 0.500 0.500 0.500

Output
energy relative to the elements = 0.178 eV per atom



This record from Alexandria describes crystalline Co2IrAu at its relaxed geometry. The functional is GGA-PBEsol.

a = 4.007 Å, b = 2.672 Å, c = 9.795 Å
α = 90.00°, β = 90.00°, γ = 90.00°
Sites, in units of the cell vectors:
Co 0.000 0.000 0.000
Co 0.000 0.500 0.500
Co 0.500 0.000 0.127
Co 0.500 0.500 0.627
Ir 0.500 0.000 0.402
Ir 0.500 0.500 0.902
Au 0.000 0.000 0.739
Au 0.000 0.500 0.239

Output
energy relative to the elements = 0.231 eV per atom



This record from Alexandria describes crystalline CoIrAu2 at its relaxed geometry. The functional is GGA-PBEsol.

a = 2.795 Å, b = 4.568 Å, c = 9.270 Å
α = 90.00°, β = 90.00°, γ = 90.00°
Sites, in units of the cell vectors:
Co 0.000 0.000 0.000
Co 0.500 0.500 0.500
Ir 0.000 0.000 0.500
Ir 0.500 0.500 0.000
Au 0.000 0.500 0.263
Au 0.000 0.500 0.737
Au 0.500 0.000 0.237
Au 0.500 0.000 0.763

Output
energy relative to the elements = 0.437 eV per atom